Material: Sm2DyHo2Er
Method: DFT, PBE
State: optimized geometry

Lattice parameters (Å, degrees): 3.363 6.636 17.518 90.00 90.00 90.00
Fractional positions:
Sm (0.500, 0.237, 0.349)
Sm (0.000, 0.737, 0.151)
Sm (0.500, 0.763, 0.651)
Sm (0.000, 0.263, 0.849)
Dy (0.500, 0.500, 0.000)
Dy (0.000, 0.000, 0.500)
Ho (0.500, 0.741, 0.323)
Ho (0.500, 0.259, 0.677)
Ho (0.000, 0.759, 0.823)
Ho (0.000, 0.241, 0.177)
Er (0.000, 0.000, 0.000)
Er (0.500, 0.500, 0.500)

For the formation energy, the calculation gives 0.269 eV/atom. Its symmetry is Pnnm (58).


Material: TbNdHo3Sc
Method: DFT, PBE
State: optimized geometry

Lattice parameters (Å, degrees): 4.968 7.849 9.957 90.00 90.00 108.45
Fractional positions:
Tb (0.000, 0.000, 0.500)
Tb (0.000, 0.000, 0.000)
Nd (0.498, 0.996, 0.750)
Nd (0.502, 0.004, 0.250)
Ho (0.668, 0.337, 0.500)
Ho (0.332, 0.663, 0.500)
Ho (0.332, 0.663, 0.000)
Ho (0.668, 0.337, 0.000)
Ho (0.170, 0.340, 0.750)
Ho (0.830, 0.660, 0.250)
Sc (0.831, 0.663, 0.750)
Sc (0.169, 0.337, 0.250)

For the formation energy, the calculation gives 0.039 eV/atom. Its symmetry is Cmcm (63).


Material: Dy3Y2Ag2
Method: DFT, PBE
State: optimized geometry

Lattice parameters (Å, degrees): 5.346 5.346 8.317 108.70 90.00 120.00
Fractional positions:
Dy (0.500, 0.000, 0.000)
Dy (0.661, 0.322, 0.483)
Dy (0.339, 0.678, 0.517)
Y (0.924, 0.848, 0.272)
Y (0.076, 0.152, 0.728)
Ag (0.787, 0.574, 0.863)
Ag (0.213, 0.426, 0.137)

For the formation energy, the calculation gives -0.113 eV/atom. Its symmetry is C2/m (12). The energy above the most stable polymorph in this dataset is 0.055 eV per atom.


Material: CrPdRh2
Method: DFT, PBE
State: optimized geometry

Lattice parameters (Å, degrees): 4.304 4.304 4.304 60.00 60.00 60.00
Fractional positions:
Cr (0.000, 0.000, 0.000)
Rh (0.250, 0.250, 0.250)
Rh (0.750, 0.750, 0.750)
Pd (0.500, 0.500, 0.500)

For the formation energy, the calculation gives 0.221 eV/atom. Its symmetry is Fm-3m (225).


Material: NaHgSF
Method: DFT, PBE
State: optimized geometry

Lattice parameters (Å, degrees): 4.234 4.234 11.998 79.84 79.84 60.00
Fractional positions:
Na (0.634, 0.634, 0.097)
Na (0.366, 0.366, 0.903)
Hg (0.776, 0.776, 0.671)
Hg (0.224, 0.224, 0.329)
S (0.119, 0.119, 0.643)
S (0.881, 0.881, 0.357)
F (0.698, 0.698, 0.905)
F (0.302, 0.302, 0.095)

The calculation puts the formation energy from raw total energies at -1286 meV/atom. Its symmetry is R-3m (166).


Material: LiNbP2
Method: DFT, PBE
State: optimized geometry

Lattice parameters (Å, degrees): 3.538 3.538 6.515 74.24 74.24 60.00
Fractional positions:
Li (0.497, 0.497, 0.508)
Nb (0.668, 0.668, 0.996)
P (0.081, 0.081, 0.756)
P (0.253, 0.253, 0.240)

For the formation energy, the calculation gives -0.567 eV/atom. Its symmetry is R3m (160). The energy above the most stable polymorph in this dataset is 0.000 eV per atom.


Material: NpZn2Br8
Method: DFT, PBE
State: optimized geometry

Lattice parameters (Å, degrees): 6.616 8.377 8.377 64.24 87.62 87.62
Fractional positions:
Np (0.000, 0.000, 0.000)
Zn (0.366, 0.183, 0.183)
Zn (0.634, 0.817, 0.817)
Br (0.759, 0.127, 0.701)
Br (0.241, 0.299, 0.873)
Br (0.747, 0.164, 0.164)
Br (0.253, 0.836, 0.836)
Br (0.759, 0.701, 0.127)
Br (0.241, 0.873, 0.299)
Br (0.285, 0.343, 0.343)
Br (0.715, 0.657, 0.657)

The calculation puts the formation energy from raw total energies at -973 meV/atom. Its symmetry is C2/m (12).


Material: SmTh3
Method: DFT, PBE
State: optimized geometry

Lattice parameters (Å, degrees): 7.179 7.179 9.744 68.38 68.38 60.00
Fractional positions:
Sm (0.777, 0.777, 0.669)
Sm (0.223, 0.223, 0.331)
Sm (0.000, 0.000, 0.000)
Th (0.222, 0.722, 0.333)
Th (0.722, 0.222, 0.333)
Th (0.722, 0.722, 0.333)
Th (0.000, 0.500, 0.000)
Th (0.500, 0.500, 0.000)
Th (0.500, 0.000, 0.000)
Th (0.278, 0.778, 0.667)
Th (0.778, 0.278, 0.667)
Th (0.278, 0.278, 0.667)

For the formation energy, the calculation gives 0.086 eV/atom. Its symmetry is R-3m (166). The energy above the most stable polymorph in this dataset is 0.037 eV per atom.